Entry a
VASP calculation (PBE-GGA) on a relaxed AlMoRu3 crystal.

Geometry as extended XYZ:
```
5
Lattice="-4.155 -0.126 -1.221 0.581 -3.998 -1.564 -1.081 -1.663 3.851" Properties=species:S:1:pos:R:3 pbc="T T T"
Ru 0.291 -1.999 -0.782
Ru -0.540 -0.832 1.926
Ru -2.077 -0.063 -0.610
Al 0.000 0.000 0.000
Mo -2.327 -2.894 0.534
```

As for the crystal system: cubic. The calculation puts the total magnetic moment at 0.000 μB/f.u.


Entry b
VASP calculation (PBE-GGA) on a relaxed AlMoRu3 crystal.

Geometry as extended XYZ:
```
5
Lattice="4.628 0.000 0.000 0.000 4.628 0.000 0.000 0.000 4.628" Properties=species:S:1:pos:R:3 pbc="T T T"
Ru 0.000 0.000 2.314
Ru 2.314 0.000 0.000
Ru 0.000 2.314 0.000
Mo 0.000 0.000 0.000
Al 2.314 2.314 2.314
```

As for the crystal system: cubic. The calculation puts the total magnetic moment at 0.001 μB/f.u.


Stability check: which of them is least stable? entry b.


Entry a
VASP calculation (PBE-GGA) on a relaxed AlMoS3 crystal.

Geometry as extended XYZ:
```
5
Lattice="4.716 0.000 0.000 0.000 4.716 0.000 0.000 0.000 4.716" Properties=species:S:1:pos:R:3 pbc="T T T"
S 0.000 0.000 2.358
S 0.000 2.358 0.000
S 2.358 0.000 0.000
Mo 0.000 0.000 0.000
Al 2.358 2.358 2.358
```

As for the crystal system: cubic. The calculation puts the total magnetic moment at 0.000 μB/f.u.


Entry b
VASP calculation (PBE-GGA) on a relaxed AlMoS3 crystal.

Geometry as extended XYZ:
```
5
Lattice="-4.278 -1.562 0.255 1.015 -3.272 -3.011 1.214 -2.767 3.416" Properties=species:S:1:pos:R:3 pbc="T T T"
Mo -1.024 -3.800 0.330
S -2.139 -0.781 0.127
S 0.607 -1.384 1.708
S 0.508 -1.636 -1.506
Al 0.000 0.000 0.000
```

As for the crystal system: cubic. The calculation puts the total magnetic moment at 2.976 μB/f.u.


Stability check: which of them is least stable? entry b.


Entry a
VASP calculation (PBE-GGA) on a relaxed AlMo2S2 crystal.

Geometry as extended XYZ:
```
5
Lattice="-1.552 2.724 -2.172 -3.337 -0.479 1.784 -0.946 5.053 3.665" Properties=species:S:1:pos:R:3 pbc="T T T"
Al 0.000 0.000 0.000
Mo -3.753 5.227 2.540
Mo -2.083 2.071 0.737
S -2.472 4.450 0.650
S -3.364 2.848 2.628
```

As for the crystal system: tetragonal. The calculation puts the total magnetic moment at 0.000 μB/f.u.


Entry b
VASP calculation (PBE-GGA) on a relaxed AlMo2S2 crystal.

Geometry as extended XYZ:
```
10
Lattice="7.179 0.000 0.000 0.000 7.179 0.000 0.000 0.000 2.952" Properties=species:S:1:pos:R:3 pbc="T T T"
Mo 2.488 6.078 0.000
Mo 6.078 4.690 0.000
Mo 4.690 1.101 0.000
Mo 1.101 2.488 0.000
Al 0.000 0.000 0.000
Al 3.589 3.589 0.000
S 1.001 4.591 1.476
S 6.178 2.588 1.476
S 4.591 6.178 1.476
S 2.588 1.001 1.476
```

As for the crystal system: tetragonal. The calculation puts the total magnetic moment at 0.000 μB/f.u.


Stability check: which of them is least stable? entry a.


Entry a
VASP calculation (PBE-GGA) on a relaxed Al3MoS crystal.

Geometry as extended XYZ:
```
5
Lattice="-4.207 2.440 0.834 -2.202 -4.230 1.266 1.341 0.707 4.696" Properties=species:S:1:pos:R:3 pbc="T T T"
Mo 0.000 0.000 0.000
Al -2.104 1.220 0.417
Al -1.101 -2.115 0.633
Al 0.671 0.354 2.348
S -2.534 -0.541 3.398
```

As for the crystal system: cubic. The calculation puts the total magnetic moment at 2.292 μB/f.u.


Entry b
VASP calculation (PBE-GGA) on a relaxed Al3MoS crystal.

Geometry as extended XYZ:
```
5
Lattice="-2.109 3.948 0.379 -2.299 -0.867 -3.761 -3.232 -1.960 2.427" Properties=species:S:1:pos:R:3 pbc="T T T"
Al -1.616 -0.980 1.214
Al -1.055 1.974 0.189
Al -1.149 -0.434 -1.880
Mo -3.820 0.561 -0.477
S 0.000 0.000 0.000
```

As for the crystal system: cubic. The calculation puts the total magnetic moment at 0.664 μB/f.u.


Stability check: which of them is least stable? entry a.


Entry a
VASP calculation (PBE-GGA) on a relaxed AlSb3Mo crystal.

Geometry as extended XYZ:
```
5
Lattice="5.260 0.000 0.000 0.000 5.260 0.000 0.000 0.000 5.260" Properties=species:S:1:pos:R:3 pbc="T T T"
Mo 0.000 0.000 0.000
Sb 0.000 0.000 2.630
Sb 2.630 0.000 0.000
Sb 0.000 2.630 0.000
Al 2.630 2.630 2.630
```

As for the crystal system: cubic. The calculation puts the total magnetic moment at 0.000 μB/f.u.


Entry b
VASP calculation (PBE-GGA) on a relaxed AlSb3Mo crystal.

Geometry as extended XYZ:
```
5
Lattice="-3.955 2.494 2.142 -2.638 -4.407 0.261 1.962 -0.898 4.668" Properties=species:S:1:pos:R:3 pbc="T T T"
Al 0.000 0.000 0.000
Sb -1.319 -2.204 0.130
Sb -1.977 1.247 1.071
Sb 0.981 -0.449 2.334
Mo -2.316 -1.406 3.536
```

As for the crystal system: cubic. The calculation puts the total magnetic moment at 0.596 μB/f.u.


Stability check: which of them is least stable? entry b.


Entry a
VASP calculation (PBE-GGA) on a relaxed ScAlMo crystal.

Geometry as extended XYZ:
```
3
Lattice="5.194 -0.002 -0.008 2.948 4.276 0.008 -3.883 -2.495 2.382" Properties=species:S:1:pos:R:3 pbc="T T T"
Mo 2.816 1.478 0.000
Sc 5.461 2.867 0.000
Al 8.007 4.203 0.000
```

As for the crystal system: orthorhombic. The calculation puts the total magnetic moment at 0.000 μB/f.u.


Entry b
VASP calculation (PBE-GGA) on a relaxed ScAlMo crystal.

Geometry as extended XYZ:
```
3
Lattice="4.401 0.000 0.000 2.200 3.811 0.000 2.200 1.270 3.593" Properties=species:S:1:pos:R:3 pbc="T T T"
Sc 4.401 2.541 1.797
Mo 0.000 0.000 0.000
Al 6.601 3.811 2.695
```

As for the crystal system: cubic. The calculation puts the total magnetic moment at 0.001 μB/f.u.


Stability check: which of them is least stable? entry b.


Entry a
VASP calculation (PBE-GGA) on a relaxed ScAlMo crystal.

Geometry as extended XYZ:
```
3
Lattice="-1.090 2.886 6.131 -4.466 3.316 4.020 2.114 -4.853 -4.369" Properties=species:S:1:pos:R:3 pbc="T T T"
Al -5.508 6.148 10.063
Mo -1.897 2.118 3.466
Sc -3.708 4.139 6.774
```

As for the crystal system: tetragonal. The calculation puts the total magnetic moment at 0.000 μB/f.u.


Entry b
VASP calculation (PBE-GGA) on a relaxed ScAlMo crystal.

Geometry as extended XYZ:
```
6
Lattice="-3.902 -0.500 3.445 0.890 1.251 5.160 -2.200 4.432 2.120" Properties=species:S:1:pos:R:3 pbc="T T T"
Mo 0.000 0.000 0.000
Mo -1.951 -0.250 1.722
Al -3.051 1.966 2.782
Al -1.506 0.376 4.302
Sc -1.289 3.531 5.006
Sc -3.923 1.652 5.718
```

As for the crystal system: orthorhombic. The calculation puts the total magnetic moment at 0.000 μB/f.u.


Stability check: which of them is least stable? entry a.


Entry a
VASP calculation (PBE-GGA) on a relaxed ScAlMo crystal.

Geometry as extended XYZ:
```
12
Lattice="5.311 -0.026 0.000 -2.595 4.634 0.000 0.000 0.000 8.855" Properties=species:S:1:pos:R:3 pbc="T T T"
Mo 1.351 3.792 0.000
Mo -1.257 3.845 0.000
Mo 3.980 0.758 4.427
Mo 0.052 1.589 0.000
Al 5.252 0.009 6.643
Al 5.252 0.009 2.212
Al 2.708 3.031 4.427
Al 1.375 0.770 4.427
Sc 0.034 3.084 2.789
Sc 0.034 3.084 6.066
Sc 2.708 1.508 1.625
Sc 2.708 1.508 7.230
```

As for the crystal system: orthorhombic. The calculation puts the total magnetic moment at 0.000 μB/f.u.


Entry b
VASP calculation (PBE-GGA) on a relaxed ScAlMo crystal.

Geometry as extended XYZ:
```
3
Lattice="3.008 0.000 0.000 -1.504 2.605 0.000 0.000 0.000 6.935" Properties=species:S:1:pos:R:3 pbc="T T T"
Sc 0.000 1.737 4.567
Al 0.000 0.000 0.121
Mo 1.504 0.868 2.247
```

As for the crystal system: trigonal. The calculation puts the total magnetic moment at 0.000 μB/f.u.


Stability check: which of them is least stable? entry b.


Entry a
VASP calculation (PBE-GGA) on a relaxed ScAlMo crystal.

Geometry as extended XYZ:
```
3
Lattice="4.644 0.000 0.000 -2.322 4.022 0.000 0.000 0.000 2.811" Properties=species:S:1:pos:R:3 pbc="T T T"
Sc 2.322 1.341 1.817
Mo 0.000 2.681 0.843
Al 0.000 0.000 0.151
```

As for the crystal system: trigonal. The calculation puts the total magnetic moment at 0.000 μB/f.u.


Entry b
VASP calculation (PBE-GGA) on a relaxed ScAlMo crystal.

Geometry as extended XYZ:
```
3
Lattice="6.911 -0.017 0.015 6.228 2.763 0.033 0.683 -0.334 2.760" Properties=species:S:1:pos:R:3 pbc="T T T"
Al 13.010 2.714 0.076
Sc 9.023 1.728 0.944
Mo 4.928 0.716 1.836
```

As for the crystal system: orthorhombic. The calculation puts the total magnetic moment at 0.000 μB/f.u.


Stability check: which of them is least stable? entry a.


Entry a
VASP calculation (PBE-GGA) on a relaxed ScAl3Mo crystal.

Geometry as extended XYZ:
```
5
Lattice="4.974 0.000 0.000 0.000 4.974 0.000 0.000 0.000 4.974" Properties=species:S:1:pos:R:3 pbc="T T T"
Mo 2.487 2.487 2.487
Al 0.000 2.487 0.000
Al 2.487 0.000 0.000
Al 0.000 0.000 2.487
Sc 0.000 0.000 0.000
```

As for the crystal system: cubic. The calculation puts the total magnetic moment at 3.143 μB/f.u.


Entry b
VASP calculation (PBE-GGA) on a relaxed ScAl3Mo crystal.

Geometry as extended XYZ:
```
5
Lattice="4.757 0.000 0.000 0.000 4.757 0.000 0.000 0.000 4.757" Properties=species:S:1:pos:R:3 pbc="T T T"
Al 2.378 0.000 0.000
Al 0.000 0.000 2.378
Al 0.000 2.378 0.000
Mo 0.000 0.000 0.000
Sc 2.378 2.378 2.378
```

As for the crystal system: cubic. The calculation puts the total magnetic moment at 0.000 μB/f.u.


Stability check: which of them is least stable? entry a.


Entry a
VASP calculation (PBE-GGA) on a relaxed AlMo2Se2 crystal.

Geometry as extended XYZ:
```
5
Lattice="4.002 0.000 0.000 0.000 4.002 0.000 2.001 2.001 5.854" Properties=species:S:1:pos:R:3 pbc="T T T"
Al 0.000 0.000 0.000
Se 4.002 2.001 2.927
Se 2.001 4.002 2.927
Mo 2.001 2.001 1.327
Mo 4.002 4.002 4.526
```

As for the crystal system: tetragonal. The calculation puts the total magnetic moment at 0.000 μB/f.u.


Entry b
VASP calculation (PBE-GGA) on a relaxed AlMo2Se2 crystal.

Geometry as extended XYZ:
```
10
Lattice="7.240 0.000 0.000 0.000 7.240 0.000 0.000 0.000 3.247" Properties=species:S:1:pos:R:3 pbc="T T T"
Mo 4.709 1.089 0.000
Mo 2.531 6.151 0.000
Mo 6.151 4.709 0.000
Mo 1.089 2.531 0.000
Se 4.670 6.190 1.623
Se 6.190 2.570 1.623
Se 2.570 1.050 1.623
Se 1.050 4.670 1.623
Al 0.000 0.000 0.000
Al 3.620 3.620 0.000
```

As for the crystal system: tetragonal. The calculation puts the total magnetic moment at 0.000 μB/f.u.


Stability check: which of them is least stable? entry a.


Entry a
VASP calculation (PBE-GGA) on a relaxed Al3MoSe crystal.

Geometry as extended XYZ:
```
5
Lattice="-2.404 2.315 3.317 -3.895 -0.286 -2.624 -1.089 -4.086 2.062" Properties=species:S:1:pos:R:3 pbc="T T T"
Al -1.948 -0.143 -1.312
Al -0.545 -2.043 1.031
Al -1.202 1.157 1.658
Mo -3.694 -1.029 1.377
Se 0.000 0.000 0.000
```

As for the crystal system: cubic. The calculation puts the total magnetic moment at 0.000 μB/f.u.


Entry b
VASP calculation (PBE-GGA) on a relaxed Al3MoSe crystal.

Geometry as extended XYZ:
```
5
Lattice="-1.785 2.840 -3.622 2.657 -2.536 -3.298 -3.758 -3.142 -0.612" Properties=species:S:1:pos:R:3 pbc="T T T"
Se -1.443 -1.419 -3.766
Al -0.893 1.420 -1.811
Al 1.329 -1.268 -1.649
Al -1.879 -1.571 -0.306
Mo 0.000 0.000 0.000
```

As for the crystal system: cubic. The calculation puts the total magnetic moment at 1.997 μB/f.u.


Stability check: which of them is least stable? entry a.